ScCrCl2 at its PBEsol-relaxed geometry, computed with meta-GGA SCAN.

Calculated values
Its spin magnetization is 5.284 μB per formula unit. The value obtained for the density of states at the Fermi level is 0.39 states/eV/atom. The value obtained for the final energy is -13.01 eV per atom. The distance to the lowest polymorph of the same formula is 0.114 eV/atom. The value obtained for the formation energy (no corrections) is -0.87 eV per atom. Its space-group type is P4/mmm.

abc: 3.114 3.114 9.072
angles: 90.00 90.00 90.00
Each line ends with the local moment (μB).
Fractional coordinates of all 4 atoms:
Cr: 0.500 0.500 0.000  4.41
Sc: 0.500 0.500 0.500  -0.02
Cl: 0.000 0.000 0.666  0.02
Cl: 0.000 0.000 0.334  0.02